No. 1
# HgRuO3

HgRuO3 after structural relaxation (PBE, Alexandria via LeMat-Bulk).

## Properties
Formation energy without anion corrections ... -0.401 eV/atom
Electronic total energy ... -26.457 eV for the cell shown

a b c (Å): 3.911 3.911 3.911
angles (deg): 90.00 90.00 90.00
Fractional positions:
O 0.500 0.000 0.000
O 0.000 0.500 0.000
Hg 0.500 0.500 0.500
O 0.000 0.000 0.500
Ru 0.000 0.000 0.000


No. 2
# HgRuO4

HgRuO4 after structural relaxation (PBE, Alexandria via LeMat-Bulk).

## Properties
Offset from the most stable computed form ... 0 meV per atom
Formation energy without anion corrections ... -0.519 eV/atom
Electronic total energy ... -65.049 eV for the cell shown

a b c (Å): 6.412 5.720 5.720
angles (deg): 102.73 107.55 107.54
Fractional positions:
Ru 0.250 0.995 0.005
O 0.041 0.130 0.849
O 0.459 0.151 0.870
O 0.541 0.849 0.130
Hg 0.750 0.624 0.376
O 0.094 0.661 0.783
O 0.406 0.217 0.339
O 0.959 0.870 0.151
Hg 0.250 0.376 0.624
Ru 0.750 0.005 0.995
O 0.594 0.783 0.661
O 0.906 0.339 0.217


No. 3
# HgRu3O

HgRu3O after structural relaxation (PBE, Alexandria via LeMat-Bulk).

## Properties
Offset from the most stable computed form ... 0 meV per atom
Formation energy without anion corrections ... 0.402 eV/atom
Electronic total energy ... -31.079 eV for the cell shown

a b c (Å): 4.140 4.140 4.140
angles (deg): 90.00 90.00 90.00
Fractional positions:
Ru 0.000 0.000 0.500
Ru 0.500 0.000 0.000
Ru 0.000 0.500 0.000
O 0.000 0.000 0.000
Hg 0.500 0.500 0.500


No. 4
# HgRu2O6

HgRu2O6 after structural relaxation (PBE, Alexandria via LeMat-Bulk).

## Properties
Formation energy without anion corrections ... -0.699 eV/atom
Electronic total energy ... -54.890 eV for the cell shown

a b c (Å): 4.815 5.300 5.300
angles (deg): 120.00 90.00 90.00
Fractional positions:
O 0.716 0.382 0.000
O 0.284 0.618 0.000
Ru 0.500 0.667 0.333
Hg 0.000 0.000 0.000
O 0.284 0.382 0.382
O 0.716 0.618 0.618
Ru 0.500 0.333 0.667
O 0.284 0.000 0.618
O 0.716 0.000 0.382


No. 5
# HgRuO3

HgRuO3 after structural relaxation (PBE, Alexandria via LeMat-Bulk).

## Properties
Formation energy without anion corrections ... 0.980 eV/atom
Electronic total energy ... -19.550 eV for the cell shown

a b c (Å): 4.132 4.132 4.132
angles (deg): 90.00 90.00 90.00
Last column: magnetic moment on the atom in μB.
Fractional positions:
O 0.000 0.000 0.500  0.22
Ru 0.500 0.500 0.500  3.37
Hg 0.000 0.000 0.000  0.04
O 0.500 0.000 0.000  0.24
O 0.000 0.500 0.000  0.32


No. 6
# HgRuS2O8

HgRuS2O8 after structural relaxation (PBE, Alexandria via LeMat-Bulk).

## Properties
Formation energy without anion corrections ... -0.959 eV/atom
Electronic total energy ... -69.005 eV for the cell shown

a b c (Å): 4.873 4.873 8.888
angles (deg): 84.03 84.03 64.79
Last column: magnetic moment on the atom in μB.
Fractional positions:
O 0.318 0.318 0.677  0.02
O 0.281 0.747 0.163  0.06
O 0.752 0.752 0.041  0.05
O 0.719 0.253 0.837  0.06
S 0.623 0.623 0.177  0.00
S 0.377 0.377 0.823  0.00
Hg 0.000 0.000 0.500  0.23
O 0.253 0.719 0.837  0.06
Ru 0.000 0.000 0.000  1.09
O 0.747 0.281 0.163  0.06
O 0.682 0.682 0.323  0.02
O 0.248 0.248 0.959  0.05


No. 7
# SiHgRuO6

SiHgRuO6 after structural relaxation (PBE, Alexandria via LeMat-Bulk).

## Properties
Formation energy without anion corrections ... -1.210 eV/atom
Electronic total energy ... -55.639 eV for the cell shown

a b c (Å): 4.997 4.997 4.957
angles (deg): 90.00 90.00 60.00
Last column: magnetic moment on the atom in μB.
Fractional positions:
O 0.370 0.609 0.294  0.07
Hg 0.000 0.000 0.000  0.02
O 0.020 0.370 0.294  0.07
O 0.609 0.370 0.706  0.07
Si 0.333 0.333 0.500  0.02
O 0.370 0.020 0.706  0.07
O 0.020 0.609 0.706  0.07
O 0.609 0.020 0.294  0.07
Ru 0.667 0.667 0.500  1.24


No. 8
# Sm2HgRuO8

Sm2HgRuO8 after structural relaxation (PBE, Alexandria via LeMat-Bulk).

## Properties
Formation energy without anion corrections ... -1.668 eV/atom
Electronic total energy ... -78.699 eV for the cell shown

a b c (Å): 4.759 4.772 7.541
angles (deg): 86.60 86.60 94.03
Fractional positions:
O 0.748 0.121 0.182
O 0.723 0.725 0.951
Ru 0.000 0.000 0.000
Sm 0.558 0.557 0.249
O 0.879 0.253 0.819
O 0.252 0.879 0.818
O 0.121 0.747 0.181
O 0.691 0.691 0.520
O 0.309 0.309 0.480
O 0.277 0.275 0.049
Sm 0.442 0.443 0.751
Hg 0.000 0.000 0.500


No. 9
# Sr2HgRuO6

Sr2HgRuO6 after structural relaxation (PBE, Alexandria via LeMat-Bulk).

## Properties
Formation energy without anion corrections ... -1.544 eV/atom
Electronic total energy ... -58.134 eV for the cell shown

a b c (Å): 5.975 5.975 5.860
angles (deg): 59.34 59.34 60.00
Last column: magnetic moment on the atom in μB.
Fractional positions:
Hg 0.798 0.798 0.607  0.03
O 0.180 0.012 0.258  0.12
Ru 0.315 0.315 0.056  1.25
Sr 0.047 0.047 0.858  0.01
O 0.012 0.550 0.258  0.12
Sr 0.547 0.547 0.359  0.01
O 0.126 0.446 0.787  0.04
O 0.641 0.126 0.787  0.04
O 0.550 0.180 0.258  0.12
O 0.446 0.641 0.787  0.04


No. 10
# Sr2Hg2RuO6

Sr2Hg2RuO6 after structural relaxation (PBE, Alexandria via LeMat-Bulk).

## Properties
Formation energy without anion corrections ... -1.402 eV/atom
Electronic total energy ... -58.414 eV for the cell shown

a b c (Å): 6.250 6.250 6.208
angles (deg): 88.88 88.88 121.67
Last column: magnetic moment on the atom in μB.
Fractional positions:
Hg 0.139 0.861 0.000  0.01
Hg 0.861 0.139 0.000  0.01
O 0.021 0.735 0.313  0.01
O 0.275 0.275 0.333  0.21
O 0.725 0.725 0.667  0.21
O 0.265 0.979 0.687  0.01
O 0.735 0.021 0.313  0.01
Ru 0.000 0.000 0.500  1.32
O 0.979 0.265 0.687  0.01
Sr 0.660 0.340 0.500  0.01
Sr 0.340 0.660 0.500  0.01


No. 11
# SrHg2RuO6

SrHg2RuO6 after structural relaxation (PBE, Alexandria via LeMat-Bulk).

## Properties
Formation energy without anion corrections ... -0.970 eV/atom
Electronic total energy ... -51.015 eV for the cell shown

a b c (Å): 5.825 5.825 6.073
angles (deg): 61.34 61.34 60.00
Fractional positions:
Sr 0.816 0.816 0.551
O 0.984 0.525 0.271
O 0.525 0.220 0.271
O 0.107 0.412 0.832
O 0.648 0.107 0.832
Hg 0.575 0.575 0.275
Ru 0.316 0.316 0.052
O 0.220 0.984 0.271
Hg 0.057 0.057 0.828
O 0.412 0.648 0.832


No. 12
# TaHgRuO6

TaHgRuO6 after structural relaxation (PBE, Alexandria via LeMat-Bulk).

## Properties
Formation energy without anion corrections ... -1.430 eV/atom
Electronic total energy ... -64.045 eV for the cell shown

a b c (Å): 5.274 5.275 5.006
angles (deg): 89.95 89.99 59.99
Last column: magnetic moment on the atom in μB.
Fractional positions:
O 0.630 0.003 0.283  0.13
Ta 0.667 0.667 0.500  0.03
O 0.367 0.630 0.283  0.13
Ru 0.333 0.333 0.500  1.88
Hg 0.000 0.000 0.000  0.05
O 0.630 0.367 0.717  0.13
O 0.003 0.629 0.717  0.13
O 0.003 0.368 0.283  0.13
O 0.367 0.003 0.717  0.13


What is the electronic total energy in the seventh record?
-55.639 eV for the cell shown


Look up the electronic total energy of the seventh one.
-55.639 eV for the cell shown


formation energy without anion corrections of number 8 (Sm2HgRuO8)?
-1.668 eV/atom


What is the electronic total energy in the twelfth record?
-64.045 eV for the cell shown